Record 1
DFT (PBE) results for a relaxed structure of SnIrRu2Pb.

Cell and atoms, written as CIF:
```
data_SnIrRu2Pb
_cell_length_a 4.8215
_cell_length_b 4.8215
_cell_length_c 5.4897
_cell_angle_alpha 90.00
_cell_angle_beta 90.00
_cell_angle_gamma 90.00
_space_group_name_H-M_alt 'P 4/m m m'
_space_group_IT_number 123
_space_group_name_Hall '-P 4 2'
loop_
_atom_site_label
_atom_site_type_symbol
_atom_site_fract_x
_atom_site_fract_y
_atom_site_fract_z
Sn1 Sn 0.0000 0.0000 0.0000
Ir1 Ir 0.5000 0.5000 0.5000
Ru1 Ru 0.0000 0.5000 0.0000
Pb1 Pb 0.0000 0.0000 0.5000
```

Calculated values
Energy relative to the elements, eV/atom: 2.1014

Record 2
DFT (PBE) results for a relaxed structure of CaAgCl.

Cell and atoms, written as CIF:
```
data_CaAgCl
_cell_length_a 13.4718
_cell_length_b 3.9568
_cell_length_c 6.8503
_cell_angle_alpha 90.00
_cell_angle_beta 90.00
_cell_angle_gamma 90.00
_space_group_name_H-M_alt 'A m m 2'
_space_group_IT_number 38
loop_
_space_group_symop_operation_xyz
'x,y,z'
'-x,-y,z'
'-x,y,z'
'x,-y,z'
'x,y+1/2,z+1/2'
'-x,-y+1/2,z+1/2'
'-x,y+1/2,z+1/2'
'x,-y+1/2,z+1/2'
loop_
_atom_site_label
_atom_site_type_symbol
_atom_site_fract_x
_atom_site_fract_y
_atom_site_fract_z
Ca1 Ca 0.1522 0.0000 0.0000
Ag1 Ag 0.0000 0.0000 0.6663
Ag2 Ag 0.5000 0.0000 0.6654
Cl1 Cl 0.2661 0.0000 0.6667
```

Calculated values
Energy relative to the lowest polymorph listed for this composition, meV/atom: 182
Formation energy without anion corrections, eV per atom: -0.8361

Record 3
DFT (PBE) results for a relaxed structure of NaZnCu2F6.

Cell and atoms, written as CIF:
```
data_NaZnCu2F6
_cell_length_a 5.3801
_cell_length_b 5.4168
_cell_length_c 5.8048
_cell_angle_alpha 63.11
_cell_angle_beta 62.73
_cell_angle_gamma 61.76
_space_group_name_H-M_alt 'P 1'
_space_group_IT_number 1
loop_
_space_group_symop_operation_xyz
'x,y,z'
loop_
_atom_site_label
_atom_site_type_symbol
_atom_site_fract_x
_atom_site_fract_y
_atom_site_fract_z
Na1 Na 0.0000 0.0000 0.0000
Zn1 Zn 0.5039 0.5143 0.4656
Cu1 Cu 0.2029 0.2027 0.3824
Cu2 Cu 0.7016 0.7104 0.8651
F1 F 0.1121 0.7970 0.6458
F2 F 0.3283 0.5677 0.1734
F3 F 0.4048 0.1355 0.6440
F4 F 0.5874 0.8946 0.1553
F5 F 0.7589 0.4535 0.6707
F6 F 0.9101 0.3115 0.2045
```

Calculated values
Formation energy without anion corrections, eV per atom: -1.9064

Record 4
DFT (PBE) results for a relaxed structure of Nb2Ni9H.

Cell and atoms, written as CIF:
```
data_Nb2Ni9H
_cell_length_a 3.6420
_cell_length_b 3.6420
_cell_length_c 10.4383
_cell_angle_alpha 90.00
_cell_angle_beta 90.00
_cell_angle_gamma 90.00
_space_group_name_H-M_alt 'P 4/m m m'
_space_group_IT_number 123
_space_group_name_Hall '-P 4 2'
loop_
_atom_site_label
_atom_site_type_symbol
_atom_site_fract_x
_atom_site_fract_y
_atom_site_fract_z
Nb1 Nb 0.0000 0.0000 0.1842
Ni1 Ni 0.0000 0.5000 0.0000
Ni2 Ni 0.0000 0.5000 0.3534
Ni3 Ni 0.5000 0.5000 0.1746
Ni4 Ni 0.5000 0.5000 0.5000
H1 H 0.0000 0.0000 0.5000
```

Calculated values
Final energy, eV per atom: -6.341

Record 5
DFT (PBE) results for a relaxed structure of Rb2SmZn3F12.

Cell and atoms, written as CIF:
```
data_Rb2SmZn3F12
_cell_length_a 7.5290
_cell_length_b 7.5290
_cell_length_c 18.6148
_cell_angle_alpha 90.00
_cell_angle_beta 90.00
_cell_angle_gamma 120.00
_space_group_name_H-M_alt 'R -3 m'
_space_group_IT_number 166
_space_group_name_Hall '-R 3 2"'
loop_
_atom_site_label
_atom_site_type_symbol
_atom_site_fract_x
_atom_site_fract_y
_atom_site_fract_z
Rb1 Rb 0.0000 0.0000 0.1183
Sm1 Sm 0.0000 0.0000 0.5000
Zn1 Zn 0.0000 0.5000 0.0000
F1 F 0.0233 0.5116 0.1108
F2 F 0.0750 0.5375 0.3356
```

Calculated values
Formation energy without anion corrections, eV per atom: -2.7029

Record 6
DFT (PBE) results for a relaxed structure of ZrCrOs2.

Cell and atoms, written as CIF:
```
data_ZrCrOs2
_cell_length_a 2.7772
_cell_length_b 2.7772
_cell_length_c 27.9099
_cell_angle_alpha 90.00
_cell_angle_beta 90.00
_cell_angle_gamma 120.00
_space_group_name_H-M_alt 'R 3 m'
_space_group_IT_number 160
_space_group_name_Hall 'R 3 -2"'
loop_
_atom_site_label
_atom_site_type_symbol
_atom_site_fract_x
_atom_site_fract_y
_atom_site_fract_z
Zr1 Zr 0.0000 0.0000 0.0000
Cr1 Cr 0.0000 0.0000 0.7574
Os1 Os 0.0000 0.0000 0.2415
Os2 Os 0.0000 0.0000 0.4962
```

Calculated values
Energy relative to the elements, eV/atom: 0.3629

Record 7
DFT (PBE) results for a relaxed structure of Te2RhBr.

Cell and atoms, written as CIF:
```
data_Te2RhBr
_cell_length_a 3.9303
_cell_length_b 6.8955
_cell_length_c 8.6103
_cell_angle_alpha 73.89
_cell_angle_beta 76.81
_cell_angle_gamma 73.53
_space_group_name_H-M_alt 'P -1'
_space_group_IT_number 2
loop_
_space_group_symop_operation_xyz
'x,y,z'
'-x,-y,-z'
loop_
_atom_site_label
_atom_site_type_symbol
_atom_site_fract_x
_atom_site_fract_y
_atom_site_fract_z
Te1 Te 0.0986 0.4781 0.3266
Te2 Te 0.3612 0.9256 0.3502
Rh1 Rh 0.2702 0.7906 0.6684
Br1 Br 0.1391 0.7438 0.9799
```

Calculated values
Formation energy without anion corrections, eV per atom: -0.3502

Record 8
DFT (PBE) results for a relaxed structure of Ti2Bi2Pd.

Cell and atoms, written as CIF:
```
data_Ti2Bi2Pd
_cell_length_a 7.1810
_cell_length_b 7.1810
_cell_length_c 4.1229
_cell_angle_alpha 90.00
_cell_angle_beta 90.00
_cell_angle_gamma 90.00
_space_group_name_H-M_alt 'P 4/m b m'
_space_group_IT_number 127
_space_group_name_Hall '-P 4 2ab'
loop_
_atom_site_label
_atom_site_type_symbol
_atom_site_fract_x
_atom_site_fract_y
_atom_site_fract_z
Ti1 Ti 0.1358 0.3642 0.0000
Bi1 Bi 0.1716 0.6716 0.5000
Pd1 Pd 0.0000 0.0000 0.0000
```

Calculated values
Energy relative to the lowest polymorph listed for this composition, meV/atom: 0
Energy relative to the elements, eV/atom: -0.0423

Record 9
DFT (PBE) results for a relaxed structure of CsNaF2.

Cell and atoms, written as CIF:
```
data_CsNaF2
_cell_length_a 3.7505
_cell_length_b 3.7505
_cell_length_c 19.6287
_cell_angle_alpha 90.00
_cell_angle_beta 90.00
_cell_angle_gamma 120.00
_space_group_name_H-M_alt 'R 3 m'
_space_group_IT_number 160
_space_group_name_Hall 'R 3 -2"'
loop_
_atom_site_label
_atom_site_type_symbol
_atom_site_fract_x
_atom_site_fract_y
_atom_site_fract_z
Cs1 Cs 0.0000 0.0000 0.0000
Na1 Na 0.0000 0.0000 0.1687
F1 F 0.0000 0.0000 0.5666
F2 F 0.0000 0.0000 0.7691
```

Calculated values
Energy relative to the lowest polymorph listed for this composition, meV/atom: 113
Formation energy without anion corrections, eV per atom: -2.5558

Record 10
DFT (PBE) results for a relaxed structure of Re2AgIr.

Cell and atoms, written as CIF:
```
data_Re2AgIr
_cell_length_a 6.2840
_cell_length_b 6.2840
_cell_length_c 6.2840
_cell_angle_alpha 90.00
_cell_angle_beta 90.00
_cell_angle_gamma 90.00
_space_group_name_H-M_alt 'F m -3 m'
_space_group_IT_number 225
_space_group_name_Hall '-F 4 2 3'
loop_
_atom_site_label
_atom_site_type_symbol
_atom_site_fract_x
_atom_site_fract_y
_atom_site_fract_z
Re1 Re 0.2500 0.2500 0.2500
Ag1 Ag 0.0000 0.0000 0.0000
Ir1 Ir 0.0000 0.0000 0.5000
```

Calculated values
Energy relative to the lowest polymorph listed for this composition, meV/atom: 685
Energy relative to the elements, eV/atom: 0.8677

Record 11
DFT (PBE) results for a relaxed structure of Dy2HoI.

Cell and atoms, written as CIF:
```
data_Dy2HoI
_cell_length_a 3.7516
_cell_length_b 3.7516
_cell_length_c 31.1544
_cell_angle_alpha 90.00
_cell_angle_beta 90.00
_cell_angle_gamma 120.00
_space_group_name_H-M_alt 'R 3 m'
_space_group_IT_number 160
_space_group_name_Hall 'R 3 -2"'
loop_
_atom_site_label
_atom_site_type_symbol
_atom_site_fract_x
_atom_site_fract_y
_atom_site_fract_z
Dy1 Dy 0.0000 0.0000 0.0000
Dy2 Dy 0.0000 0.0000 0.1745
Ho1 Ho 0.0000 0.0000 0.4202
I1 I 0.0000 0.0000 0.5871
```

Calculated values
Energy relative to the lowest polymorph listed for this composition, meV/atom: 0
Formation energy without anion corrections, eV per atom: -0.3400

Record 12
DFT (PBE) results for a relaxed structure of Sn2PdPt5.

Cell and atoms, written as CIF:
```
data_Sn2PdPt5
_cell_length_a 5.7310
_cell_length_b 11.4710
_cell_length_c 4.0549
_cell_angle_alpha 90.00
_cell_angle_beta 90.00
_cell_angle_gamma 90.00
_space_group_name_H-M_alt 'P b a m'
_space_group_IT_number 55
loop_
_space_group_symop_operation_xyz
'x,y,z'
'-x,-y,-z'
'-x,-y,z'
'x,y,-z'
'x+1/2,-y+1/2,-z'
'-x+1/2,y+1/2,z'
'-x+1/2,y+1/2,-z'
'x+1/2,-y+1/2,z'
loop_
_atom_site_label
_atom_site_type_symbol
_atom_site_fract_x
_atom_site_fract_y
_atom_site_fract_z
Sn1 Sn 0.2458 0.1238 0.0000
Pd1 Pd 0.0000 0.0000 0.5000
Pt1 Pt 0.0000 0.5000 0.5000
Pt2 Pt 0.0036 0.7493 0.5000
Pt3 Pt 0.2473 0.3745 0.0000
```

Calculated values
Energy relative to the elements, eV/atom: -0.4251

Record 13
DFT (PBE) results for a relaxed structure of CaGa3Br12.

Cell and atoms, written as CIF:
```
data_CaGa3Br12
_cell_length_a 11.6911
_cell_length_b 11.6911
_cell_length_c 33.6500
_cell_angle_alpha 90.00
_cell_angle_beta 90.00
_cell_angle_gamma 120.00
_space_group_name_H-M_alt 'R 3 c'
_space_group_IT_number 161
_space_group_name_Hall 'R 3 -2"c'
loop_
_atom_site_label
_atom_site_type_symbol
_atom_site_fract_x
_atom_site_fract_y
_atom_site_fract_z
Ca1 Ca 0.0000 0.0000 0.0000
Ga1 Ga 0.0366 0.2891 0.1081
Br1 Br 0.0458 0.5193 0.9462
Br2 Br 0.0677 0.2110 0.4383
Br3 Br 0.0870 0.5358 0.7139
Br4 Br 0.0942 0.5355 0.3286
```

Calculated values
Formation energy without anion corrections, eV per atom: -0.9324

Record 14
DFT (PBE) results for a relaxed structure of BaTl2Se2.

Cell and atoms, written as CIF:
```
data_BaTl2Se2
_cell_length_a 8.7306
_cell_length_b 8.7306
_cell_length_c 4.5610
_cell_angle_alpha 90.00
_cell_angle_beta 90.00
_cell_angle_gamma 90.00
_space_group_name_H-M_alt 'P 4/m b m'
_space_group_IT_number 127
_space_group_name_Hall '-P 4 2ab'
loop_
_atom_site_label
_atom_site_type_symbol
_atom_site_fract_x
_atom_site_fract_y
_atom_site_fract_z
Ba1 Ba 0.0000 0.0000 0.0000
Tl1 Tl 0.1289 0.3711 0.5000
Se1 Se 0.1800 0.6800 0.0000
```

Calculated values
Energy relative to the lowest polymorph listed for this composition, meV/atom: 303
Formation energy without anion corrections, eV per atom: -0.7524

Record 15
DFT (PBE) results for a relaxed structure of Er2HfPb.

Cell and atoms, written as CIF:
```
data_Er2HfPb
_cell_length_a 4.7066
_cell_length_b 4.7066
_cell_length_c 4.6521
_cell_angle_alpha 90.00
_cell_angle_beta 90.00
_cell_angle_gamma 90.00
_space_group_name_H-M_alt 'P 4/m m m'
_space_group_IT_number 123
_space_group_name_Hall '-P 4 2'
loop_
_atom_site_label
_atom_site_type_symbol
_atom_site_fract_x
_atom_site_fract_y
_atom_site_fract_z
Er1 Er 0.0000 0.5000 0.0000
Hf1 Hf 0.0000 0.0000 0.5000
Pb1 Pb 0.5000 0.5000 0.5000
```

Calculated values
Energy relative to the lowest polymorph listed for this composition, meV/atom: 47
Energy relative to the elements, eV/atom: -0.0933

Record 16
DFT (PBE) results for a relaxed structure of W2SeN.

Cell and atoms, written as CIF:
```
data_W2SeN
_cell_length_a 4.5705
_cell_length_b 4.5705
_cell_length_c 12.6552
_cell_angle_alpha 90.00
_cell_angle_beta 90.00
_cell_angle_gamma 90.00
_space_group_name_H-M_alt 'I -4 2 d'
_space_group_IT_number 122
_space_group_name_Hall 'I -4 2bw'
loop_
_atom_site_label
_atom_site_type_symbol
_atom_site_fract_x
_atom_site_fract_y
_atom_site_fract_z
W1 W 0.1527 0.2500 0.1250
Se1 Se 0.0000 0.0000 0.5000
N1 N 0.0000 0.0000 0.0000
```

Calculated values
Energy relative to the lowest polymorph listed for this composition, meV/atom: 0
Formation energy without anion corrections, eV per atom: 0.3447

Record 17
DFT (PBE) results for a relaxed structure of Tl2HgOs.

Cell and atoms, written as CIF:
```
data_Tl2HgOs
_cell_length_a 3.4992
_cell_length_b 4.0057
_cell_length_c 6.1499
_cell_angle_alpha 90.00
_cell_angle_beta 90.00
_cell_angle_gamma 90.00
_space_group_name_H-M_alt 'P m m m'
_space_group_IT_number 47
loop_
_space_group_symop_operation_xyz
'x,y,z'
'-x,-y,-z'
'-x,-y,z'
'x,y,-z'
'x,-y,-z'
'-x,y,z'
'-x,y,-z'
'x,-y,z'
loop_
_atom_site_label
_atom_site_type_symbol
_atom_site_fract_x
_atom_site_fract_y
_atom_site_fract_z
Tl1 Tl 0.0000 0.0000 0.2344
Hg1 Hg 0.5000 0.5000 0.5000
Os1 Os 0.5000 0.5000 0.0000
```

Calculated values
Energy relative to the lowest polymorph listed for this composition, meV/atom: 251
Energy relative to the elements, eV/atom: 0.8481

Record 18
DFT (PBE) results for a relaxed structure of Be2AgTeO6.

Cell and atoms, written as CIF:
```
data_Be2AgTeO6
_cell_length_a 9.6701
_cell_length_b 8.5945
_cell_length_c 5.9149
_cell_angle_alpha 90.00
_cell_angle_beta 110.22
_cell_angle_gamma 90.00
_space_group_name_H-M_alt 'C 1 2/c 1'
_space_group_IT_number 15
loop_
_space_group_symop_operation_xyz
'x,y,z'
'-x,-y,-z'
'-x,y,-z+1/2'
'x,-y,z+1/2'
'x+1/2,y+1/2,z'
'-x+1/2,-y+1/2,-z'
'-x+1/2,y+1/2,-z+1/2'
'x+1/2,-y+1/2,z+1/2'
loop_
_atom_site_label
_atom_site_type_symbol
_atom_site_fract_x
_atom_site_fract_y
_atom_site_fract_z
Be1 Be 0.1970 0.0722 0.1418
Ag1 Ag 0.0000 0.4057 0.2500
Te1 Te 0.0000 0.2159 0.7500
O1 O 0.0785 0.2128 0.0947
O2 O 0.1304 0.3872 0.7213
O3 O 0.1571 0.0581 0.8170
```

Calculated values
Formation energy without anion corrections, eV per atom: -1.3906

Record 19
DFT (PBE) results for a relaxed structure of Ta2SbCl.

Cell and atoms, written as CIF:
```
data_Ta2SbCl
_cell_length_a 3.4128
_cell_length_b 3.6197
_cell_length_c 6.9193
_cell_angle_alpha 90.00
_cell_angle_beta 90.00
_cell_angle_gamma 90.00
_space_group_name_H-M_alt 'P m m m'
_space_group_IT_number 47
loop_
_space_group_symop_operation_xyz
'x,y,z'
'-x,-y,-z'
'-x,-y,z'
'x,y,-z'
'x,-y,-z'
'-x,y,z'
'-x,y,-z'
'x,-y,z'
loop_
_atom_site_label
_atom_site_type_symbol
_atom_site_fract_x
_atom_site_fract_y
_atom_site_fract_z
Ta1 Ta 0.0000 0.0000 0.1996
Sb1 Sb 0.5000 0.5000 0.0000
Cl1 Cl 0.5000 0.0000 0.5000
```

Calculated values
Energy relative to the lowest polymorph listed for this composition, meV/atom: 443
Formation energy without anion corrections, eV per atom: 0.2293

Record 20
DFT (PBE) results for a relaxed structure of LiHg2S2.

Cell and atoms, written as CIF:
```
data_LiHg2S2
_cell_length_a 7.4274
_cell_length_b 7.4274
_cell_length_c 3.9790
_cell_angle_alpha 90.00
_cell_angle_beta 90.00
_cell_angle_gamma 90.00
_space_group_name_H-M_alt 'P 4/m b m'
_space_group_IT_number 127
_space_group_name_Hall '-P 4 2ab'
loop_
_atom_site_label
_atom_site_type_symbol
_atom_site_fract_x
_atom_site_fract_y
_atom_site_fract_z
Li1 Li 0.0000 0.0000 0.0000
Hg1 Hg 0.1322 0.3678 0.5000
S1 S 0.2082 0.7082 0.0000
```

Calculated values
Formation energy without anion corrections, eV per atom: -0.2412